# 1
Below is Dy3Sc2PaP6 after structural relaxation, with properties calculated at the GGA-PBE level.

Calculated values
Space group: C2/m, No. 12
Formation energy (eV/atom): -1.5277

Unit cell a=6.7783 b=6.7783 c=6.8087 alpha=99.54 beta=99.54 gamma=120.02
Closest atoms and distances in Å follow each position.
Atoms (fractional coordinates):
Dy1 0.1661 0.8339 0.5000  6 P 2.80-2.83
P1 0.7419 0.7419 0.2365  2 Sc 2.71, 1 Pa 2.74, 3 Dy 2.80-2.83
Dy2 0.5000 0.5000 0.5000  6 P 2.80-2.83
Pa1 0.0000 0.0000 0.0000  6 P 2.74-2.75
P2 0.5836 0.9206 0.7613  2 Sc 2.72, 1 Pa 2.75, 3 Dy 2.80-2.83
P3 0.9206 0.5836 0.7613  2 Sc 2.72, 1 Pa 2.75, 3 Dy 2.80-2.83
Dy3 0.8339 0.1661 0.5000  6 P 2.80-2.83
Sc1 0.6668 0.3332 0.0000  6 P 2.71-2.72
Sc2 0.3332 0.6668 0.0000  6 P 2.71-2.72
P4 0.4164 0.0794 0.2387  2 Sc 2.72, 1 Pa 2.75, 3 Dy 2.80-2.83
P5 0.2581 0.2581 0.7635  2 Sc 2.71, 1 Pa 2.74, 3 Dy 2.80-2.83
P6 0.0794 0.4164 0.2387  2 Sc 2.72, 1 Pa 2.75, 3 Dy 2.80-2.83

***

# 2
Below is Li4TbEr3Te8 after structural relaxation, with properties calculated at the GGA-PBE level.

Calculated values
Energy relative to the elements, uncorrected (eV per atom): -1.284
Space group: R-3m, No. 166

Unit cell a=8.6493 b=8.6479 c=8.6481 alpha=120.05 beta=120.00 gamma=90.00
Closest atoms and distances in Å follow each position.
Atoms (fractional coordinates):
Tb1 0.0000 0.5000 0.0000  6 Te 3.09
Te1 0.2488 0.2469 0.4977  3 Li 3.04-3.05, 3 Er 3.07
Li1 0.0000 0.0000 0.0000  6 Te 3.04-3.05
Te2 0.2529 0.7545 0.5059  3 Li 3.02-3.05, 2 Er 3.07, 1 Tb 3.09
Er1 0.0000 0.5000 0.5000  6 Te 3.07
Te3 0.2509 0.2455 0.9980  3 Li 3.02-3.05, 2 Er 3.07, 1 Tb 3.09
Li2 0.5000 0.0000 0.5000  6 Te 3.04-3.05
Li3 0.0000 0.0000 0.5000  6 Te 3.04-3.05
Er2 0.5000 0.5000 0.5000  6 Te 3.07
Te4 0.7471 0.2455 0.4941  3 Li 3.02-3.05, 2 Er 3.07, 1 Tb 3.09
Te5 0.7491 0.7545 0.0020  3 Li 3.02-3.05, 2 Er 3.07, 1 Tb 3.09
Er3 0.5000 0.5000 0.0000  6 Te 3.07
Te6 0.2529 0.7545 0.0020  3 Li 3.02-3.05, 2 Er 3.07, 1 Tb 3.09
Te7 0.7471 0.2455 0.9980  3 Li 3.02-3.05, 2 Er 3.07, 1 Tb 3.09
Te8 0.7512 0.7531 0.5023  3 Li 3.04-3.05, 3 Er 3.07
Li4 0.5000 0.0000 0.0000  6 Te 3.02

***

# 3
Below is LiCoTc2 after structural relaxation, with properties calculated at the GGA-PBE level.

Calculated values
Space group: Fm-3m, No. 225
Formation energy (eV/atom): 0.4391

Unit cell a=4.1321 b=4.1321 c=4.1321 alpha=60.00 beta=60.00 gamma=60.00
Closest atoms and distances in Å follow each position.
Atoms (fractional coordinates):
Co1 0.5000 0.5000 0.5000  8 Tc 2.53
Tc1 0.2500 0.2500 0.2500  4 Li 2.53, 4 Co 2.53
Tc2 0.7500 0.7500 0.7500  4 Li 2.53, 4 Co 2.53
Li1 0.0000 0.0000 0.0000  8 Tc 2.53

***

# 4
Below is Al2AgRh after structural relaxation, with properties calculated at the GGA-PBE level.

Calculated values
Space group: R3m, No. 160
Formation energy (eV/atom): -0.2188

Unit cell a=8.8214 b=8.8214 c=8.8214 alpha=19.00 beta=19.00 gamma=19.00
Closest atoms and distances in Å follow each position.
Atoms (fractional coordinates):
Rh1 0.5075 0.5075 0.5075  3 Al 2.48
Al1 0.9988 0.9988 0.9988  3 Ag 2.76, 9 Al 2.84-2.91
Al2 0.2441 0.2441 0.2441  3 Rh 2.48
Ag1 0.7496 0.7496 0.7496  3 Al 2.76, 3 Rh 2.91, 6 Ag 2.91